(1)
# Ba2ZnP6W, optimized geometry, DFT GGA-PBE
# calculated volume	22.0	Å³/atom
# total energy	-5.429	eV per atom
data_Ba2ZnP6W
_symmetry_space_group_name_H-M 'P -1'
_symmetry_Int_Tables_number 2
_symmetry_space_group_name_Hall '-P 1'
_cell_length_a 5.8225
_cell_length_b 7.6414
_cell_length_c 10.0588
_cell_angle_alpha 79.88
_cell_angle_beta 89.58
_cell_angle_gamma 89.58
loop_
_atom_site_label
_atom_site_type_symbol
_atom_site_fract_x
_atom_site_fract_y
_atom_site_fract_z
_atom_site_occupancy
Ba1 Ba 0.2468 0.2097 0.0029 1
Ba2 Ba 0.2523 0.1675 0.4497 1
Zn1 Zn 0.2559 0.7497 0.8264 1
P1 P 0.0456 0.5209 0.7108 1
P2 P 0.0515 0.0477 0.7522 1
P3 P 0.2466 0.6689 0.5231 1
P4 P 0.2525 0.6135 0.0645 1
P5 P 0.4406 0.5185 0.7040 1
P6 P 0.4467 0.0478 0.7526 1
W1 W 0.2524 0.7230 0.2737 1

=====

(2)
# BaZnP, optimized geometry, DFT GGA-PBE
# calculated volume	29.6	Å³/atom
# total energy	-3.206	eV per atom
data_BaZnP
_symmetry_space_group_name_H-M 'R -3 m'
_symmetry_Int_Tables_number 166
_symmetry_space_group_name_Hall '-R 3 2"'
_cell_length_a 4.0916
_cell_length_b 4.0916
_cell_length_c 36.6943
_cell_angle_alpha 90.00
_cell_angle_beta 90.00
_cell_angle_gamma 120.00
loop_
_atom_site_label
_atom_site_type_symbol
_atom_site_fract_x
_atom_site_fract_y
_atom_site_fract_z
_atom_site_occupancy
Ba1 Ba 0.0000 0.0000 0.0565 1
Zn1 Zn 0.0000 0.0000 0.2043 1
P1 P 0.0000 0.0000 0.4491 1

=====

(3)
# BaPaPb, optimized geometry, DFT GGA-PBE
# calculated volume	36.5	Å³/atom
# total energy	-4.256	eV per atom
data_BaPaPb
_symmetry_space_group_name_H-M 'F -4 3 m'
_symmetry_Int_Tables_number 216
_symmetry_space_group_name_Hall 'F -4 2 3'
_cell_length_a 7.5973
_cell_length_b 7.5973
_cell_length_c 7.5973
_cell_angle_alpha 90.00
_cell_angle_beta 90.00
_cell_angle_gamma 90.00
loop_
_atom_site_label
_atom_site_type_symbol
_atom_site_fract_x
_atom_site_fract_y
_atom_site_fract_z
_atom_site_occupancy
Ba1 Ba 0.0000 0.0000 0.0000 1
Pa1 Pa 0.2500 0.2500 0.2500 1
Pb1 Pb 0.0000 0.0000 0.5000 1

=====

(4)
# BaPmPa, optimized geometry, DFT GGA-PBE
# calculated volume	41.5	Å³/atom
# polymorph energy (0 for the lowest one)	0.000	eV per atom
data_BaPmPa
_symmetry_space_group_name_H-M 'F -4 3 m'
_symmetry_Int_Tables_number 216
_symmetry_space_group_name_Hall 'F -4 2 3'
_cell_length_a 7.9235
_cell_length_b 7.9235
_cell_length_c 7.9235
_cell_angle_alpha 90.00
_cell_angle_beta 90.00
_cell_angle_gamma 90.00
loop_
_atom_site_label
_atom_site_type_symbol
_atom_site_fract_x
_atom_site_fract_y
_atom_site_fract_z
_atom_site_occupancy
Ba1 Ba 0.0000 0.0000 0.0000 1
Pm1 Pm 0.0000 0.0000 0.5000 1
Pa1 Pa 0.2500 0.2500 0.2500 1

=====

(5)
# BaPrPa, optimized geometry, DFT GGA-PBE
# calculated volume	38.0	Å³/atom
# total energy	-3.972	eV per atom
data_BaPrPa
_symmetry_space_group_name_H-M 'F -4 3 m'
_symmetry_Int_Tables_number 216
_symmetry_space_group_name_Hall 'F -4 2 3'
_cell_length_a 7.6959
_cell_length_b 7.6959
_cell_length_c 7.6959
_cell_angle_alpha 90.00
_cell_angle_beta 90.00
_cell_angle_gamma 90.00
loop_
_atom_site_label
_atom_site_type_symbol
_atom_site_fract_x
_atom_site_fract_y
_atom_site_fract_z
_atom_site_occupancy
Ba1 Ba 0.0000 0.0000 0.0000 1
Pr1 Pr 0.2500 0.2500 0.2500 1
Pa1 Pa 0.2500 0.2500 0.7500 1

=====

(6)
# BaPuPa, optimized geometry, DFT GGA-PBE
# calculated volume	34.1	Å³/atom
# total energy	-7.352	eV per atom
data_BaPuPa
_symmetry_space_group_name_H-M 'F -4 3 m'
_symmetry_Int_Tables_number 216
_symmetry_space_group_name_Hall 'F -4 2 3'
_cell_length_a 7.4255
_cell_length_b 7.4255
_cell_length_c 7.4255
_cell_angle_alpha 90.00
_cell_angle_beta 90.00
_cell_angle_gamma 90.00
loop_
_atom_site_label
_atom_site_type_symbol
_atom_site_fract_x
_atom_site_fract_y
_atom_site_fract_z
_atom_site_occupancy
Ba1 Ba 0.0000 0.0000 0.0000 1
Pu1 Pu 0.2500 0.2500 0.2500 1
Pa1 Pa 0.0000 0.0000 0.5000 1

=====

(7)
# RbBaPa, optimized geometry, DFT GGA-PBE
# calculated volume	56.1	Å³/atom
# total energy	-2.375	eV per atom
data_RbBaPa
_symmetry_space_group_name_H-M 'F -4 3 m'
_symmetry_Int_Tables_number 216
_symmetry_space_group_name_Hall 'F -4 2 3'
_cell_length_a 8.7632
_cell_length_b 8.7632
_cell_length_c 8.7632
_cell_angle_alpha 90.00
_cell_angle_beta 90.00
_cell_angle_gamma 90.00
loop_
_atom_site_label
_atom_site_type_symbol
_atom_site_fract_x
_atom_site_fract_y
_atom_site_fract_z
_atom_site_occupancy
Rb1 Rb 0.0000 0.0000 0.0000 1
Ba1 Ba 0.0000 0.0000 0.5000 1
Pa1 Pa 0.2500 0.2500 0.7500 1

=====

(8)
# BaPa2S6, optimized geometry, DFT GGA-PBE
# calculated volume	31.2	Å³/atom
# total energy	-6.798	eV per atom
data_BaPa2S6
_symmetry_space_group_name_H-M 'P -3 1 m'
_symmetry_Int_Tables_number 162
_symmetry_space_group_name_Hall '-P 3 2'
_cell_length_a 7.0323
_cell_length_b 7.0323
_cell_length_c 6.5579
_cell_angle_alpha 90.00
_cell_angle_beta 90.00
_cell_angle_gamma 120.00
loop_
_atom_site_label
_atom_site_type_symbol
_atom_site_fract_x
_atom_site_fract_y
_atom_site_fract_z
_atom_site_occupancy
Ba1 Ba 0.0000 0.0000 0.0000 1
Pa1 Pa 0.3333 0.6667 0.5000 1
S1 S 0.0000 0.3784 0.7224 1